Below is crystalline CoAuN2O at its relaxed geometry, with properties calculated at the PBE with a Hubbard U level.

The value obtained for the final energy is -4.1166 eV/atom.

Structure (CIF):
```
data_CoAuN2O
_chemical_formula_sum 'Co1 Au1 N2 O1'
_space_group_name_H-M_alt 'P 4/m m m'
_space_group_IT_number 123
_space_group_name_Hall '-P 4 2'
_cell_length_a 4.033
_cell_length_b 4.033
_cell_length_c 4.150
_cell_angle_alpha 90.00
_cell_angle_beta 90.00
_cell_angle_gamma 90.00
loop_
_atom_site_label
_atom_site_fract_x
_atom_site_fract_y
_atom_site_fract_z
Co1 0.000 0.000 0.000
Au1 0.500 0.500 0.500
N1 0.000 0.500 0.500
O1 0.500 0.500 0.000
```